Material: Pm2DyPaRu2
Method: DFT, PBE
State: optimized geometry

Summary:
For the calculated total energy, the calculation gives -7.321 eV per atom. The value obtained for the density of states at the Fermi level is 27.4 states/eV/cell. The total magnetization comes out at 0.0 μB per formula unit.

Cell lengths 6.8919, 13.5736, 6.8112 Å; angles 90.00, 90.00, 90.00 degrees
With the nearest neighbours (Å) after each atom.
Space group Ibam (No. 72)
One atom of each set of equivalent atoms:
Pm (0.2225, 0.1934, 0.0000) (multiplicity 8)  1 Ru 2.87
Dy (0.0000, 0.5000, 0.2500) (multiplicity 4)  4 Ru 2.94
Pa (0.0000, 0.0000, 0.2500) (multiplicity 4)  4 Ru 2.60
Ru (0.2105, 0.0977, 0.5000) (multiplicity 8)  2 Pa 2.60, 1 Pm 2.87

---

Material: Tm5AgSn2
Method: DFT, PBE
State: optimized geometry

Summary:
For the calculated total energy, the calculation gives -4.538 eV per atom. The value obtained for the density of states at the Fermi level is 17.2 states/eV/cell. The total magnetization comes out at 0.0 μB per formula unit.

Cell lengths 6.8298, 6.8298, 8.8345 Å; angles 90.00, 90.00, 90.00 degrees
With the nearest neighbours (Å) after each atom.
Space group I4mm (No. 107)
One atom of each set of equivalent atoms:
Tm (0.0000, 0.0000, 0.0000) (multiplicity 2)  8 Tm 3.27, 4 Sn 3.41
Tm (0.2501, 0.2501, 0.2497) (multiplicity 8)  2 Ag 3.26-3.28, 6 Tm 3.27-3.42, 4 Sn 3.27
Ag (0.0000, 0.0000, 0.4982) (multiplicity 2)  8 Tm 3.26-3.28, 4 Sn 3.41
Sn (0.0000, 0.5000, 0.9997) (multiplicity 4)  10 Tm 3.27-3.41, 2 Ag 3.41

---

Material: LiTiAl2
Method: DFT, PBE
State: optimized geometry

Summary:
For the calculated total energy, the calculation gives -4.600 eV per atom. The value obtained for the density of states at the Fermi level is 3.1 states/eV/cell. The total magnetization comes out at 0.0 μB per formula unit.

Cell lengths 2.9768, 2.9768, 7.0144 Å; angles 90.00, 90.00, 90.00 degrees
With the nearest neighbours (Å) after each atom.
Space group P4/mmm (No. 123)
One atom of each set of equivalent atoms:
Li (0.0000, 0.0000, 0.0000) (multiplicity 1)  8 Al 2.68, 4 Li 2.98
Ti (0.0000, 0.0000, 0.5000) (multiplicity 1)  8 Al 2.80, 4 Ti 2.98
Al (0.5000, 0.5000, 0.2374) (multiplicity 2)  4 Li 2.68, 4 Ti 2.80, 4 Al 2.98

---

Material: KZrPCl2
Method: DFT, PBE
State: optimized geometry

Summary:
The calculation puts the uncorrected formation energy at 464 meV per atom. For the calculated total energy, the calculation gives -3.286 eV per atom. The calculation puts the energy relative to the lowest polymorph listed for this composition at 1651.3 meV per atom. The value obtained for the density of states at the Fermi level is 4.9 states/eV/cell. The total magnetization comes out at 0.0 μB per formula unit.

Cell lengths 5.2016, 5.2016, 5.7220 Å; angles 90.00, 90.00, 90.00 degrees
With the nearest neighbours (Å) after each atom.
Space group P4/mmm (No. 123)
One atom of each set of equivalent atoms:
K (0.0000, 0.0000, 0.0000) (multiplicity 1)  4 Cl 2.60, 2 P 2.86
Zr (0.5000, 0.5000, 0.5000) (multiplicity 1)  4 P 3.68, 8 Cl 3.87
P (0.0000, 0.0000, 0.5000) (multiplicity 1)  2 K 2.86
Cl (0.0000, 0.5000, 0.0000) (multiplicity 2)  2 K 2.60

---

Material: Li4CO4
Method: DFT, PBE
State: optimized geometry

Summary:
The calculation puts the uncorrected formation energy at -1726 meV per atom. For the calculated total energy, the calculation gives -5.805 eV per atom. The value obtained for the density of states at the Fermi level is 0.0 states/eV/cell. The total magnetization comes out at 0.0 μB per formula unit.

Cell lengths 6.4819, 6.4819, 4.3828 Å; angles 90.00, 90.00, 90.00 degrees
With the nearest neighbours (Å) after each atom.
Space group I-42m (No. 121)
One atom of each set of equivalent atoms:
Li (0.1705, 0.1705, 0.3691) (multiplicity 8)  4 O 1.90-2.09
C (0.0000, 0.0000, 0.0000) (multiplicity 2)  4 O 1.42
O (0.1248, 0.1248, 0.8090) (multiplicity 8)  1 C 1.42

---

Material: AcCuAsO6
Method: DFT, PBE
State: optimized geometry

Summary:
The calculation puts the uncorrected formation energy at -1582 meV per atom. For the calculated total energy, the calculation gives -6.315 eV per atom. The value obtained for the density of states at the Fermi level is 4.0 states/eV/cell. The total magnetization comes out at 1.0 μB per formula unit.

Cell lengths 5.0608, 5.0608, 5.3714 Å; angles 90.00, 90.00, 120.00 degrees
With the nearest neighbours (Å) after each atom.
Space group P312 (No. 149)
One atom of each set of equivalent atoms:
Ac (0.0000, 0.0000, 0.0000) (multiplicity 1)  6 O 2.53
Cu (0.3333, 0.6667, 0.5000) (multiplicity 1)  6 O 1.96
As (0.6667, 0.3333, 0.5000) (multiplicity 1)  6 O 1.85
O (0.3927, 0.0152, 0.7004) (multiplicity 6)  1 As 1.85, 1 Cu 1.96

---

Material: Np2CuAg2S6
Method: DFT, PBE
State: optimized geometry

Summary:
The calculation puts the uncorrected formation energy at -689 meV per atom. For the calculated total energy, the calculation gives -6.184 eV per atom. The value obtained for the density of states at the Fermi level is 31.1 states/eV/cell. The total magnetization comes out at 5.0 μB per formula unit.

Cell lengths 6.5745, 12.0147, 6.5271 Å; angles 90.00, 111.35, 90.00 degrees
With the nearest neighbours (Å) after each atom.
Space group C2/m (No. 12)
One atom of each set of equivalent atoms:
Np (0.0000, 0.1635, 0.0000) (multiplicity 4)  6 S 2.63-2.71
Cu (0.0000, 0.5000, 0.0000) (multiplicity 2)  2 S 2.37
Ag (0.0000, 0.3247, 0.5000) (multiplicity 4)  6 S 2.66-2.83
S (0.2219, 0.5000, 0.7831) (multiplicity 4)  1 Cu 2.37
S (0.2474, 0.3285, 0.2334) (multiplicity 8)  2 Np 2.63-2.66, 2 Ag 2.66-2.78, 1 Cu 2.72

---

Material: Tm5Pb6
Method: DFT, PBE
State: optimized geometry

Summary:
For the calculated total energy, the calculation gives -4.345 eV per atom. The calculation puts the energy relative to the lowest polymorph listed for this composition at 44.8 meV per atom. The value obtained for the density of states at the Fermi level is 12.6 states/eV/cell. The total magnetization comes out at 0.0 μB per formula unit.

Cell lengths 5.8227, 14.9153, 7.7141 Å; angles 90.00, 102.09, 90.00 degrees
With the nearest neighbours (Å) after each atom.
Space group C2/m (No. 12)
One atom of each set of equivalent atoms:
Tm (0.0000, 0.0000, 0.0000) (multiplicity 2)  6 Pb 3.14-3.36
Tm (0.0000, 0.3300, 0.0000) (multiplicity 4)  6 Pb 3.16-3.26
Tm (0.0000, 0.3361, 0.5000) (multiplicity 4)  6 Pb 3.12-3.20
Pb (0.0050, 0.1597, 0.7365) (multiplicity 8)  5 Tm 3.12-3.26
Pb (0.0428, 0.5000, 0.2560) (multiplicity 4)  5 Tm 3.13-3.36